[1]
! LaHgN2 (GGA-PBEsol, relaxed); values from VASP
&SYSTEM
  ibrav = 0, nat = 8, ntyp = 3
/
ATOMIC_SPECIES
N 14.01 N.upf
Hg 200.59 Hg.upf
La 138.91 La.upf
CELL_PARAMETERS angstrom
4.9751 0.0000 0.0000
0.0000 4.9751 0.0000
-2.4875 -2.4875 5.9612
ATOMIC_POSITIONS angstrom
N 3.8119 1.2438 1.4903
N 1.1631 3.7313 1.4903
N 1.2438 1.3244 4.4709
N -1.2438 -1.3244 4.4709
Hg 0.0000 2.4875 2.9806
Hg 0.0000 0.0000 0.0000
La 2.4875 0.0000 2.9806
La 2.4875 2.4875 0.0000
! E_form (uncorrected) = 0.026 eV/atom
! N(E_F) = 0.989 states/eV per atom

[2]
! YNb2NO5 (GGA-PBEsol, relaxed); values from VASP
&SYSTEM
  ibrav = 0, nat = 36, ntyp = 4
/
ATOMIC_SPECIES
Y 88.91 Y.upf
Nb 92.91 Nb.upf
N 14.01 N.upf
O 16.00 O.upf
CELL_PARAMETERS angstrom
5.2631 -0.0094 -0.0089
0.0253 5.6242 -0.0040
0.1553 0.0708 14.9454
ATOMIC_POSITIONS angstrom
Y 1.3492 4.1264 0.0064
Y 4.0944 1.5592 14.9261
Y 4.0414 4.3223 7.4540
Y 1.4023 1.3632 7.4784
Nb 3.5855 4.5312 2.4123
Nb 1.0183 1.1022 2.4886
Nb 0.9815 3.8675 5.0210
Nb 3.7400 1.8047 5.0417
Nb 1.7036 3.8808 9.8907
Nb 4.4622 1.8181 9.9114
Nb 4.4253 4.5833 12.4438
Nb 1.8582 1.1543 12.5201
N 3.0739 3.2300 1.2919
N 5.1758 2.4940 6.0977
N 0.2679 3.1915 8.8348
N 2.3698 2.4556 13.6405
O 0.4264 2.3515 1.2656
O 5.1170 5.3158 1.3622
O 2.4394 0.3452 1.3287
O 1.8733 4.9017 3.5569
O 4.6292 0.8238 3.6199
O 1.9243 2.1118 3.8695
O 4.5623 3.6083 3.8802
O 2.5401 3.2048 6.0981
O 0.5012 5.2068 6.2132
O 3.0969 0.4917 6.2093
O 2.3468 5.1939 8.7231
O 4.9424 0.4788 8.7192
O 2.9036 2.4808 8.8343
O 3.5194 3.5738 11.0629
O 0.8814 2.0772 11.0522
O 0.8145 4.8618 11.3125
O 3.5704 0.7839 11.3756
O 3.0042 5.3403 13.6038
O 0.3267 0.3697 13.5702
O 5.0173 3.3341 13.6668
! E_form (uncorrected) = -2.574 eV/atom
! N(E_F) = 0.000 states/eV per atom
! excess energy over the best structure of this formula in the dataset = 1 meV/atom

[3]
! MgZn4W (GGA-PBEsol, relaxed); values from VASP
&SYSTEM
  ibrav = 0, nat = 6, ntyp = 3
/
ATOMIC_SPECIES
Mg 24.30 Mg.upf
W 183.84 W.upf
Zn 65.41 Zn.upf
CELL_PARAMETERS angstrom
-3.0513 -3.9237 0.4066
1.8782 -4.6186 0.1104
-0.1178 -2.6393 4.2298
ATOMIC_POSITIONS angstrom
Mg -0.9682 -8.3862 3.5601
W 0.0000 0.0000 0.0000
Zn -0.4826 -4.1799 1.7745
Zn -0.5421 -5.5120 3.9092
Zn -2.0226 -6.1602 1.9797
Zn 0.4654 -6.5109 1.8302
! N(E_F) = 0.772 states/eV per atom
! E_form = 0.2694 eV/atom

[4]
! LaNi3 (GGA-PBEsol, relaxed); values from VASP
&SYSTEM
  ibrav = 0, nat = 4, ntyp = 2
/
ATOMIC_SPECIES
Ni 58.69 Ni.upf
La 138.91 La.upf
CELL_PARAMETERS angstrom
4.0642 0.0000 0.0000
2.0321 3.5197 0.0000
2.0321 1.1732 4.6346
ATOMIC_POSITIONS angstrom
Ni 6.0963 3.5197 2.6444
Ni 4.0642 2.3465 2.3173
Ni 2.0321 1.1732 1.9902
La 0.0000 0.0000 0.0000
! N(E_F) = 1.130 states/eV per atom
! E_form = -0.2615 eV/atom

[5]
! PAuN2 (GGA-PBEsol, relaxed); values from VASP
&SYSTEM
  ibrav = 0, nat = 4, ntyp = 3
/
ATOMIC_SPECIES
P 30.97 P.upf
Au 196.97 Au.upf
N 14.01 N.upf
CELL_PARAMETERS angstrom
-0.9482 -1.3490 -2.2323
1.0344 -2.4892 -0.6602
-4.2087 -3.9451 2.4467
ATOMIC_POSITIONS angstrom
P -2.0613 -3.8916 -0.2229
Au 0.0000 0.0000 0.0000
N -1.3851 -4.7637 -1.7082
N -2.7374 -3.0195 1.2624
! E_form (uncorrected) = -0.056 eV/atom
! N(E_F) = 0.195 states/eV per atom

[6]
! KZn2Mo (GGA-PBEsol, relaxed); values from VASP
&SYSTEM
  ibrav = 0, nat = 4, ntyp = 3
/
ATOMIC_SPECIES
K 39.10 K.upf
Mo 95.94 Mo.upf
Zn 65.41 Zn.upf
CELL_PARAMETERS angstrom
4.7845 0.0000 0.0000
2.3923 4.1435 0.0000
2.3923 1.3812 3.9065
ATOMIC_POSITIONS angstrom
K 0.0000 0.0000 0.0000
Mo 4.7845 2.7623 1.9533
Zn 2.3923 1.3812 0.9766
Zn 7.1768 4.1435 2.9299
! N(E_F) = 0.436 states/eV per atom
! excess energy over the best structure of this formula in the dataset = 563 meV/atom
! E_form = 1.0275 eV/atom

[7]
! Ag2HgSe (GGA-PBEsol, relaxed); values from VASP
&SYSTEM
  ibrav = 0, nat = 4, ntyp = 3
/
ATOMIC_SPECIES
Ag 107.87 Ag.upf
Hg 200.59 Hg.upf
Se 78.96 Se.upf
CELL_PARAMETERS angstrom
-1.3921 3.3970 0.2210
-2.9946 -1.3356 1.6658
2.5041 0.6970 5.0605
ATOMIC_POSITIONS angstrom
Ag 2.4774 0.6896 5.0064
Ag -1.5800 1.2014 2.1830
Hg 1.2101 0.3368 2.4454
Se -0.2338 1.5761 4.9033
! E_form (uncorrected) = 0.004 eV/atom
! N(E_F) = 0.145 states/eV per atom

[8]
! Ag2HgCl2 (GGA-PBEsol, relaxed); values from VASP
&SYSTEM
  ibrav = 0, nat = 5, ntyp = 3
/
ATOMIC_SPECIES
Hg 200.59 Hg.upf
Ag 107.87 Ag.upf
Cl 35.45 Cl.upf
CELL_PARAMETERS angstrom
-1.7057 -4.8368 0.2050
4.8398 -1.7088 -0.0479
-1.4249 3.4952 6.3524
ATOMIC_POSITIONS angstrom
Hg 0.0000 0.0000 0.0000
Ag 0.0606 0.0947 2.7390
Ag 1.6487 -3.1451 3.7705
Cl 2.4910 -0.7432 3.1915
Cl -0.7818 -2.3072 3.3180
! E_form (uncorrected) = -0.199 eV/atom

[9]
! YBe2Si (GGA-PBEsol, relaxed); values from VASP
&SYSTEM
  ibrav = 0, nat = 4, ntyp = 3
/
ATOMIC_SPECIES
Y 88.91 Y.upf
Be 9.01 Be.upf
Si 28.09 Si.upf
CELL_PARAMETERS angstrom
3.0993 0.0000 0.0000
0.0000 3.0993 0.0000
0.0000 0.0000 6.1429
ATOMIC_POSITIONS angstrom
Y 1.5496 1.5496 3.0714
Be 0.0000 0.0000 5.0520
Be 0.0000 0.0000 1.0909
Si 1.5496 1.5496 0.0000
! E_form (uncorrected) = 0.089 eV/atom
! N(E_F) = 0.335 states/eV per atom

[10]
! TaTePb2 (GGA-PBEsol, relaxed); values from VASP
&SYSTEM
  ibrav = 0, nat = 4, ntyp = 3
/
ATOMIC_SPECIES
Pb 207.20 Pb.upf
Ta 180.95 Ta.upf
Te 127.60 Te.upf
CELL_PARAMETERS angstrom
4.4059 0.0000 0.0000
0.0000 4.4059 0.0000
-2.2030 -2.2030 5.0393
ATOMIC_POSITIONS angstrom
Pb 2.2030 0.0000 2.5196
Pb 0.0000 2.2030 2.5196
Ta 2.2030 2.2030 0.0000
Te 0.0000 0.0000 0.0000
! E_form (uncorrected) = 0.582 eV/atom
! N(E_F) = 0.966 states/eV per atom

[11]
! CsCd3Cl (GGA-PBEsol, relaxed); values from VASP
&SYSTEM
  ibrav = 0, nat = 5, ntyp = 3
/
ATOMIC_SPECIES
Cs 132.91 Cs.upf
Cl 35.45 Cl.upf
Cd 112.41 Cd.upf
CELL_PARAMETERS angstrom
-0.9685 -3.4136 6.0301
6.9291 -0.4291 0.8699
-0.0546 6.0923 3.4401
ATOMIC_POSITIONS angstrom
Cs 0.0000 0.0000 0.0000
Cl 2.9530 1.1248 5.1701
Cd 3.4646 -0.2146 0.4350
Cd -0.0273 3.0462 1.7200
Cd -0.4842 -1.7068 3.0151
! E_form (uncorrected) = 0.406 eV/atom

[12]
! Na2TcB (GGA-PBEsol, relaxed); values from VASP
&SYSTEM
  ibrav = 0, nat = 8, ntyp = 3
/
ATOMIC_SPECIES
Na 22.99 Na.upf
B 10.81 B.upf
Tc 98.00 Tc.upf
CELL_PARAMETERS angstrom
4.0330 0.0000 0.0000
2.0165 6.7340 0.0000
2.0165 0.0000 6.7340
ATOMIC_POSITIONS angstrom
Na 3.5289 5.7841 2.4171
Na 3.5289 0.9500 4.3170
Na 2.5206 2.4171 0.9500
Na 6.5536 4.3170 5.7841
B 3.0248 3.3670 3.3670
B 2.0165 0.0000 0.0000
Tc 5.0413 3.3670 3.3670
Tc 0.0000 0.0000 0.0000
! N(E_F) = 0.993 states/eV per atom
! E_form = 1.1319 eV/atom

[13]
! ZrSc2PtO (GGA-PBEsol, relaxed); values from VASP
&SYSTEM
  ibrav = 0, nat = 5, ntyp = 4
/
ATOMIC_SPECIES
Sc 44.96 Sc.upf
O 16.00 O.upf
Zr 91.22 Zr.upf
Pt 195.08 Pt.upf
CELL_PARAMETERS angstrom
-2.3997 -3.9496 -0.5094
2.7731 -1.1393 -4.2296
3.4681 -2.4868 2.9437
ATOMIC_POSITIONS angstrom
Sc 1.7340 -1.2434 1.4718
Sc 1.3865 -0.5697 -2.1148
O 1.9207 -3.7879 -0.8977
Zr 0.0000 0.0000 0.0000
Pt -1.1999 -1.9748 -0.2547
! E_form (uncorrected) = 1.023 eV/atom
! N(E_F) = 1.060 states/eV per atom